VASP calculation (GGA-PBE) on a geometry-optimized Ce2NbZnN5 structure.

Summary:
**D(E_F)**: 4.040 states/eV/cell
**Mass density**: 7.39 g cm⁻³
**Formation energy without anion corrections**: -88.2 kJ/mol of atoms
**M_tot**: 0.000 μB/cell

Cell lengths 3.309, 6.966, 10.211 Å; angles 90.00, 90.00, 103.74 degrees
Sites, in units of the cell vectors:
Ce1 0.870 0.740 0.793
Ce2 0.113 0.226 0.686
Ce3 0.130 0.260 0.293
Ce4 0.887 0.774 0.186
Nb1 0.792 0.585 0.502
Nb2 0.208 0.415 0.002
Zn1 0.519 0.038 0.974
Zn2 0.481 0.962 0.474
N1 0.359 0.718 0.009
N2 0.699 0.398 0.868
N3 0.497 0.994 0.779
N4 0.284 0.568 0.650
N5 0.940 0.880 0.564
N6 0.641 0.282 0.509
N7 0.301 0.602 0.368
N8 0.503 0.006 0.279
N9 0.716 0.432 0.150
N10 0.060 0.120 0.064